Record 1
ScCCl2 | meta-GGA SCAN | PBEsol geometry

The structure in POSCAR format:
```
ScCCl2
1.0
-1.3994 -3.8096 -1.8373
4.8885 -4.7160 0.6538
-3.2037 -3.7155 4.7430
C Sc Cl
2 2 4
Direct
0.2500 0.5000 0.5000
0.5000 0.0000 0.0000
0.0000 0.0000 0.0000
0.7500 0.5000 0.5000
0.3750 0.6588 0.8412
0.7838 0.8412 0.3412
0.8750 0.3412 0.1588
0.9662 0.1588 0.6588
```

Values from the calculation:
Its space group is I-42d, No. 122.

=====

Record 2
TiC2SeCl | meta-GGA SCAN | PBEsol geometry

The structure in POSCAR format:
```
TiC2SeCl
1.0
-0.5987 -3.4639 -1.5169
3.3500 -1.1982 1.4140
-2.3528 -1.4838 4.3169
Se C Cl Ti
1 2 1 1
Direct
0.0000 0.0000 0.0000
0.0000 0.5000 0.0000
0.5000 0.0000 0.0000
0.5000 0.5000 0.5000
0.0000 0.0000 0.5000
```

Values from the calculation:
Its space group is P4/mmm, No. 123.

=====

Record 3
SiCCl3 | meta-GGA SCAN | PBEsol geometry

The structure in POSCAR format:
```
SiCCl3
1.0
4.3513 0.0000 0.0000
0.0000 4.3513 0.0000
0.0000 0.0000 4.3513
Si Cl C
1 3 1
Direct
0.5000 0.5000 0.5000
0.5000 0.0000 0.0000
0.0000 0.5000 0.0000
0.0000 0.0000 0.5000
0.0000 0.0000 0.0000
```

Values from the calculation:
Its space group is Pm-3m, No. 221.

=====

Record 4
Si3CCl7 | meta-GGA SCAN | PBEsol geometry

The structure in POSCAR format:
```
Si3CCl7
1.0
8.8405 0.0000 0.0000
-4.4202 8.0344 0.1922
0.0000 -4.1789 17.1722
Si Cl C
12 28 4
Direct
0.5273 0.1283 0.2184
0.2364 0.0909 0.3125
0.8545 0.0909 0.8125
0.6423 0.2555 0.9048
0.3868 0.7445 0.5952
0.1455 0.9091 0.1875
0.7636 0.9091 0.6875
0.6010 0.1283 0.7184
0.3990 0.8717 0.2816
0.4727 0.8717 0.7816
0.3577 0.7445 0.0952
0.6132 0.2555 0.4048
0.4894 0.2695 0.5007
0.5956 0.8178 0.2878
0.0921 0.0122 0.1052
0.7801 0.2695 0.0007
0.2582 0.3252 0.3206
0.9330 0.6748 0.1794
0.7997 0.3053 0.6729
0.5055 0.3053 0.1729
0.7383 0.4916 0.3794
0.5106 0.7305 0.4993
0.0799 0.9878 0.3948
0.0670 0.3252 0.8206
0.2046 0.8067 0.5685
0.4945 0.6947 0.8271
0.4044 0.1822 0.7122
0.2466 0.5084 0.1206
0.2199 0.7305 0.9993
0.7954 0.1933 0.4315
0.6022 0.8067 0.0685
0.7778 0.1822 0.2122
0.3978 0.1933 0.9315
0.9201 0.0122 0.6052
0.2222 0.8178 0.7878
0.2617 0.5084 0.6206
0.7534 0.4916 0.8794
0.7418 0.6748 0.6794
0.2003 0.6947 0.3271
0.9079 0.9878 0.8948
0.4583 0.1036 0.3201
0.3547 0.8964 0.1799
0.6453 0.1036 0.8201
0.5417 0.8964 0.6799
```

Values from the calculation:
Its space group is C2/c, No. 15.

=====

| no. | uncorrected formation energy (eV per formula unit) |
| --- | --- |
| 1 | -1.1 |
| 2 | 8.5 |
| 3 | 5.8 |
| 4 | -11.8 |